VASP calculation (PBE-GGA) on a relaxed structure of LaMgGa2Cu2.

## Properties
The space group is P-3m1, No. 164. The total energy is -3.858 eV per atom. The density of states at the Fermi level is 0.42 states/eV/atom.

```
LaMgGa2Cu2
1.0
-3.984 0.624 -1.484
3.272 -0.449 -2.750
-1.075 -7.133 -0.113
La Mg Ga Cu
1 1 2 2
direct
0.000 0.000 0.000
0.000 0.000 0.500
0.667 0.333 0.710
0.333 0.667 0.290
0.667 0.333 0.320
0.333 0.667 0.680
```